No. 1
DFT (GGA-PBE) results for crystalline Tb3AlCd at its relaxed geometry.

## Properties
total magnetic moment = 0.000 μB/atom
calculated total energy = -3.971 eV/atom
formation enthalpy at 0 K = -6.03 kcal/mol of atoms
offset from the most stable computed form = 0.0 meV per atom
symmetry = Cmcm, No. 63

POSCAR file:
```
Tb3AlCd
1.0
2.569 -10.211 0.000
2.569 10.211 0.000
0.000 0.000 5.141
Tb Al Cd
6 2 2
direct
0.063 0.937 0.750
0.250 0.750 0.750
0.436 0.564 0.750
0.564 0.436 0.250
0.750 0.250 0.250
0.937 0.063 0.250
0.157 0.843 0.250
0.843 0.157 0.750
0.343 0.657 0.250
0.657 0.343 0.750
```

---

No. 2
DFT (GGA-PBE) results for crystalline DyEr5Tm2 at its relaxed geometry.

## Properties
total magnetic moment = 0.000 μB/atom
calculated total energy = -4.525 eV/atom
formation enthalpy at 0 K = 0.47 kcal/mol of atoms
symmetry = Pbam, No. 55

POSCAR file:
```
DyEr5Tm2
1.0
6.992 0.000 0.000
0.000 13.985 0.000
0.000 0.000 4.941
Dy Er Tm
2 10 4
direct
0.000 0.000 0.000
0.500 0.500 0.000
0.000 0.250 0.000
0.000 0.500 0.000
0.000 0.750 0.000
0.250 0.125 0.500
0.250 0.625 0.500
0.500 0.000 0.000
0.500 0.250 0.000
0.500 0.750 0.000
0.750 0.375 0.500
0.750 0.875 0.500
0.250 0.375 0.500
0.250 0.875 0.500
0.750 0.125 0.500
0.750 0.625 0.500
```

---

No. 3
DFT (GGA-PBE) results for crystalline Fe2WBr at its relaxed geometry.

## Properties
total magnetic moment = 0.851 μB/atom
uncorrected formation energy = 0.930 eV per atom
calculated total energy = -6.957 eV/atom
offset from the most stable computed form = 460.0 meV per atom
symmetry = Immm, No. 71

POSCAR file:
```
Fe2WBr
1.0
-1.453 2.250 4.346
1.453 -2.250 4.346
1.453 2.250 -4.346
Fe W Br
2 1 1
direct
0.240 0.240 0.000
0.760 0.760 0.000
0.500 0.000 0.500
0.000 0.500 0.500
```

---

No. 4
DFT (GGA-PBE) results for crystalline Pm2Tm8Sc3 at its relaxed geometry.

## Properties
total magnetic moment = 0.000 μB/atom
calculated total energy = -4.898 eV/atom
formation enthalpy at 0 K = 1.06 kcal/mol of atoms
offset from the most stable computed form = 0.0 meV per atom
symmetry = P-1, No. 2

POSCAR file:
```
Pm2Tm8Sc3
1.0
5.995 0.000 0.000
-1.002 5.926 0.000
-2.002 -0.350 10.741
Pm Tm Sc
2 8 3
direct
0.116 0.269 0.461
0.884 0.731 0.539
0.040 0.418 0.147
0.193 0.121 0.779
0.346 0.807 0.378
0.424 0.660 0.701
0.576 0.340 0.299
0.654 0.193 0.622
0.807 0.879 0.221
0.960 0.582 0.853
0.273 0.961 0.073
0.500 0.500 0.000
0.727 0.039 0.927
```

---

No. 5
DFT (GGA-PBE) results for crystalline TlAuSN2 at its relaxed geometry.

## Properties
total magnetic moment = 0.625 μB/atom
uncorrected formation energy = 1.504 eV per atom
calculated total energy = -3.780 eV/atom
offset from the most stable computed form = 0.0 meV per atom
symmetry = P4/mmm, No. 123

POSCAR file:
```
TlAuSN2
1.0
4.166 0.000 0.000
0.000 4.166 0.000
0.000 0.000 5.358
Tl Au S N
1 1 1 2
direct
0.000 0.000 0.000
0.500 0.500 0.500
0.500 0.500 0.000
0.000 0.500 0.500
0.500 0.000 0.500
```

---

No. 6
DFT (GGA-PBE) results for crystalline PrErLuTl at its relaxed geometry.

## Properties
total magnetic moment = 0.189 μB/atom
calculated total energy = -4.105 eV/atom
formation enthalpy at 0 K = -1.09 kcal/mol of atoms
symmetry = F-43m, No. 216

POSCAR file:
```
PrErLuTl
1.0
0.000 3.887 3.887
3.887 0.000 3.887
3.887 3.887 0.000
Pr Er Lu Tl
1 1 1 1
direct
0.000 0.000 0.000
0.500 0.500 0.500
0.750 0.750 0.750
0.250 0.250 0.250
```

---

Please write out number 1 again, unchanged.
DFT (GGA-PBE) results for crystalline Tb3AlCd at its relaxed geometry.

## Properties
total magnetic moment = 0.000 μB/atom
calculated total energy = -3.971 eV/atom
formation enthalpy at 0 K = -6.03 kcal/mol of atoms
offset from the most stable computed form = 0.0 meV per atom
symmetry = Cmcm, No. 63

POSCAR file:
```
Tb3AlCd
1.0
2.569 -10.211 0.000
2.569 10.211 0.000
0.000 0.000 5.141
Tb Al Cd
6 2 2
direct
0.063 0.937 0.750
0.250 0.750 0.750
0.436 0.564 0.750
0.564 0.436 0.250
0.750 0.250 0.250
0.937 0.063 0.250
0.157 0.843 0.250
0.843 0.157 0.750
0.343 0.657 0.250
0.657 0.343 0.750
```